# 1
This record from Alexandria describes CsVAs2O8 after structural relaxation. The functional is PBE with a Hubbard U.

Output
Raw total energy ... -74.2 eV for the cell shown
Size of the total moment ... 0.0 μB per cell

```
CsVAs2O8
1.0
5.3911 0.0000 0.0000
2.6955 4.6688 0.0000
2.6955 1.5563 9.2622
O Cs As V
8 1 2 1
Cartesian
2.6955 1.5563 1.2174 O
8.0866 4.6688 8.0448 O
6.6970 2.3586 3.5142 O
4.0852 2.3585 3.5142 O
6.6970 3.8665 5.7480 O
4.0852 3.8666 5.7480 O
5.3911 1.6046 5.7480 O
5.3911 4.6205 3.5142 O
0.0000 0.0000 0.0000 Cs
8.0866 4.6688 6.3829 As
2.6955 1.5563 2.8793 As
5.3911 3.1126 4.6311 V
```



# 2
This record from Alexandria describes CsVAsO2 after structural relaxation. The functional is PBE with a Hubbard U.

Output
Raw total energy ... -22.4 eV for the cell shown
Size of the total moment ... 3.4 μB per cell
N(E_F) ... 0.39 states/eV/atom

```
CsVAsO2
1.0
-3.0931 0.8121 -3.0610
-3.4024 -0.0502 3.4247
0.5442 4.3514 0.6045
Cs V As O
1 1 1 2
Cartesian
-2.9756 2.5566 0.4841 Cs
-1.7012 -0.0251 1.7123 V
0.0000 0.0000 0.0000 As
0.2721 2.1757 0.3023 O
-1.5465 0.4060 -1.5305 O
```



# 3
This record from Alexandria describes Cs2VAs2O6 after structural relaxation. The functional is PBE with a Hubbard U.

Output
Raw total energy ... -64.7 eV for the cell shown
Size of the total moment ... 1.0 μB per cell

```
Cs2VAs2O6
1.0
5.7504 0.0000 0.0000
2.8752 4.9800 0.0000
2.8752 1.6600 7.6323
As O Cs V
2 6 2 1
Cartesian
5.7504 3.3200 5.8540 As
5.7504 3.3200 1.7783 As
4.3032 2.4844 6.5185 O
4.3032 4.1556 1.1138 O
5.7504 4.9911 6.5185 O
7.1976 4.1556 1.1138 O
7.1976 2.4844 6.5185 O
5.7504 1.6489 1.1138 O
2.8752 1.6600 2.2757 Cs
8.6256 4.9800 5.3566 Cs
0.0000 0.0000 0.0000 V
```



# 4
This record from Alexandria describes CsAsWO6 after structural relaxation. The functional is PBE with a Hubbard U.

Output
Raw total energy ... -57.7 eV for the cell shown
Size of the total moment ... 0.0 μB per cell
N(E_F) ... 0.00 states/eV/atom

```
CsAsWO6
1.0
-3.2846 0.9841 3.8627
-4.4419 -2.6136 0.3419
3.0781 -4.7315 3.8228
O Cs As W
6 1 1 1
Cartesian
-3.9713 -1.6885 5.2603 O
-5.3483 -3.5974 4.0064 O
-3.6771 -5.3052 4.3994 O
-1.7586 -3.5585 5.0165 O
-2.9791 -2.8214 3.0593 O
-3.9370 -3.7415 6.5441 O
-0.2065 -3.7475 7.6854 Cs
-3.6119 -3.4521 4.7143 As
-1.0365 -2.9089 3.3128 W
```



What is the formula in the fourth record? CsAsWO6



Which of these has the highest size of the total moment? CsVAsO2



The highest size of the total moment belongs to which entry? CsVAsO2